Run i
Material: CaIrPb2Au
Method: DFT, PBE-GGA
State: optimized geometry

Cell: 5.198 5.198 5.529 Å, 90.00 90.00 90.00°
Atoms (fractional coordinates):
Ca 0.000 0.000 0.000
Ir 0.000 0.000 0.500
Pb 0.000 0.500 0.500
Pb 0.500 0.000 0.500
Au 0.500 0.500 0.000

space-group type: P4/mmm (123)



Run ii
Material: CaIrPb2Au
Method: DFT, PBE-GGA
State: optimized geometry

Cell: 5.370 5.370 5.382 Å, 90.00 90.00 90.00°
Atoms (fractional coordinates):
Ca 0.000 0.000 0.000
Ir 0.500 0.500 0.500
Pb 0.000 0.500 0.500
Pb 0.500 0.000 0.500
Au 0.500 0.500 0.000

space-group type: P4/mmm (123)



Which structure is most stable? run i, by 0.133 eV/atom over the runner-up.



Run i
Material: K2CaAu
Method: DFT, PBE-GGA
State: optimized geometry

Cell: 4.304 4.142 10.397 Å, 90.00 101.91 90.00°
Atoms (fractional coordinates):
K 0.000 0.000 0.000
K 0.315 0.500 0.629
Ca 0.650 0.500 0.297
Au 0.175 0.000 0.347

space-group type: Pm (6)



Run ii
Material: K2CaAu
Method: DFT, PBE-GGA
State: optimized geometry

Cell: 3.976 3.976 10.799 Å, 90.00 90.00 90.18°
Atoms (fractional coordinates):
K 0.000 0.000 0.180
K 0.000 0.000 0.820
Ca 0.500 0.500 0.500
Au 0.500 0.500 0.000

space-group type: Cmmm (65)



Which structure is most stable? run i, by 0.208 eV/atom over the runner-up.



Run i
Material: K2CaAu
Method: DFT, PBE-GGA
State: optimized geometry

Cell: 5.860 5.860 5.860 Å, 120.35 120.35 89.39°
Atoms (fractional coordinates):
K 0.000 0.000 0.000
K 0.750 0.250 0.500
Ca 0.500 0.500 0.000
Au 0.250 0.750 0.500

space-group type: I-4m2 (119)



Run ii
Material: K2CaAu
Method: DFT, PBE-GGA
State: optimized geometry

Cell: 5.984 4.499 7.725 Å, 90.00 112.71 90.00°
Atoms (fractional coordinates):
K 0.162 0.000 0.324
K 0.838 0.000 0.676
Ca 0.500 0.500 0.000
Au 0.000 0.500 0.000

space-group type: P2/m (10)



Run iii
Material: K2CaAu
Method: DFT, PBE-GGA
State: optimized geometry

Cell: 12.031 12.031 12.031 Å, 20.28 20.28 20.28°
Atoms (fractional coordinates):
K 0.229 0.229 0.229
K 0.771 0.771 0.771
Ca 0.000 0.000 0.000
Au 0.500 0.500 0.500

space-group type: R-3m (166)



Which structure is most stable? run ii, by 0.097 eV/atom over the runner-up.



Run i
Material: K2CaAu
Method: DFT, PBE-GGA
State: optimized geometry

Cell: 4.869 4.869 6.123 Å, 90.00 90.00 90.11°
Atoms (fractional coordinates):
K 0.000 0.500 0.000
K 0.500 0.000 0.000
Ca 0.000 0.000 0.500
Au 0.500 0.500 0.500

space-group type: Cmmm (65)



Run ii
Material: K2CaAu
Method: DFT, PBE-GGA
State: optimized geometry

Cell: 7.098 7.098 7.098 Å, 140.07 140.07 57.75°
Atoms (fractional coordinates):
K 0.250 0.750 0.500
K 0.750 0.250 0.500
Ca 0.000 0.000 0.000
Au 0.500 0.500 0.000

space-group type: I4/mmm (139)



Which structure is most stable? run i, by 0.013 eV/atom over the runner-up.